Record 1
Below is crystalline Li2ErCo9 at its relaxed geometry, with properties calculated at the PBE-GGA level.

Lattice parameters (Å, degrees): 4.771 7.998 7.998 90.00 90.00 90.00
Last column: magnetic moment on the atom in μB.
Atoms (fractional coordinates):
Co 0.500 0.567 0.290  1.52
Co 0.500 0.933 0.790  1.52
Co 0.237 0.820 0.320  1.48
Er 0.000 0.500 0.500  -0.39
Li 0.000 0.115 0.385  -0.04
Co 0.500 0.000 0.500  1.61
Co 0.500 0.067 0.210  1.52
Co 0.763 0.680 0.820  1.48
Co 0.500 0.290 0.433  1.52
Co 0.763 0.180 0.680  1.48
Co 0.500 0.710 0.567  1.52
Co 0.500 0.790 0.067  1.52
Li 0.000 0.385 0.885  -0.04
Co 0.500 0.210 0.933  1.52
Co 0.763 0.320 0.180  1.48
Co 0.500 0.433 0.710  1.52
Co 0.237 0.180 0.680  1.48
Er 0.000 0.000 0.000  -0.39
Co 0.500 0.500 0.000  1.61
Co 0.237 0.320 0.180  1.48
Li 0.000 0.885 0.615  -0.04
Co 0.237 0.680 0.820  1.48
Co 0.763 0.820 0.320  1.48
Li 0.000 0.615 0.115  -0.04

Calculated values
Space group ... P4/mbm, No. 127

***

Record 2
Below is crystalline LiErCo4 at its relaxed geometry, with properties calculated at the PBE-GGA level.

Lattice parameters (Å, degrees): 4.908 4.908 4.908 60.00 60.00 60.00
Last column: magnetic moment on the atom in μB.
Atoms (fractional coordinates):
Co 0.625 0.625 0.124  1.52
Er 0.250 0.250 0.250  -0.40
Li 0.000 0.000 0.000  -0.04
Co 0.625 0.124 0.625  1.52
Co 0.124 0.625 0.625  1.52
Co 0.625 0.625 0.625  1.52

Calculated values
Space group ... F-43m, No. 216

***

Record 3
Below is crystalline LiEr8Co2 at its relaxed geometry, with properties calculated at the PBE-GGA level.

Lattice parameters (Å, degrees): 5.504 7.631 7.631 113.38 97.37 97.37
Atoms (fractional coordinates):
Er 0.000 0.252 0.755
Er 0.584 0.073 0.337
Er 0.202 0.391 0.391
Er 0.584 0.337 0.073
Li 0.001 0.002 0.002
Co 0.500 0.309 0.697
Er 0.416 0.933 0.669
Er 0.797 0.614 0.614
Co 0.500 0.697 0.309
Er 0.416 0.669 0.933
Er 0.000 0.755 0.252

Calculated values
Space group ... Cm, No. 8

***

Record 4
Below is crystalline LiEr12Co6 at its relaxed geometry, with properties calculated at the PBE-GGA level.

Lattice parameters (Å, degrees): 8.311 8.311 8.311 109.47 109.47 109.47
Atoms (fractional coordinates):
Co 0.114 0.614 0.500
Er 0.196 0.695 0.890
Li 0.000 0.000 0.000
Er 0.695 0.890 0.196
Co 0.886 0.386 0.500
Er 0.804 0.695 0.499
Co 0.614 0.500 0.114
Er 0.501 0.196 0.305
Co 0.500 0.114 0.614
Er 0.305 0.110 0.804
Co 0.500 0.886 0.386
Er 0.804 0.305 0.110
Er 0.890 0.196 0.695
Er 0.695 0.499 0.804
Er 0.305 0.501 0.196
Er 0.499 0.804 0.695
Co 0.386 0.500 0.886
Er 0.110 0.804 0.305
Er 0.196 0.305 0.501

Calculated values
Space group ... Im-3, No. 204

***

Record 5
Below is crystalline LiErMnCo at its relaxed geometry, with properties calculated at the PBE-GGA level.

Lattice parameters (Å, degrees): 4.480 4.480 4.480 60.00 60.00 60.00
Last column: magnetic moment on the atom in μB.
Atoms (fractional coordinates):
Li 0.250 0.250 0.250  -0.06
Er 0.500 0.500 0.500  -0.37
Co 0.750 0.750 0.750  0.85
Mn 0.000 0.000 0.000  3.45

Calculated values
Space group ... F-43m, No. 216

***

Record 6
Below is crystalline LiErCoPb at its relaxed geometry, with properties calculated at the PBE-GGA level.

Lattice parameters (Å, degrees): 4.678 4.678 4.678 60.00 60.00 60.00
Last column: magnetic moment on the atom in μB.
Atoms (fractional coordinates):
Co 0.000 0.000 0.000  0.66
Li 0.500 0.500 0.500  -0.01
Pb 0.750 0.750 0.750  0.02
Er 0.250 0.250 0.250  -0.01

Calculated values
Space group ... F-43m, No. 216

***

Number 1: total DFT energy (no corrections) -6.0428 eV/atom, magnetization 1.07 μB/atom, ΔH_f (0 K) -0.01 eV per atom. Number 2: total DFT energy (no corrections) -5.9098 eV/atom, magnetization 0.92 μB/atom, ΔH_f (0 K) -0.09 eV per atom. Number 3: total DFT energy (no corrections) -4.7954 eV/atom, magnetization 0.00 μB/atom, ΔH_f (0 K) -0.01 eV per atom. Number 4: total DFT energy (no corrections) -5.4144 eV/atom, magnetization 0.00 μB/atom, ΔH_f (0 K) -0.19 eV per atom. Number 5: total DFT energy (no corrections) -5.6148 eV/atom, magnetization 0.98 μB/atom, ΔH_f (0 K) 0.07 eV per atom. Number 6: total DFT energy (no corrections) -4.5216 eV/atom, magnetization 0.17 μB/atom, ΔH_f (0 K) -0.20 eV per atom.